The following is a DFT calculation (PBE) of a relaxed structure of Tb2MnPd.

Properties
As for the density of states at the Fermi level: 4.372 states/eV/f.u. As for the formation energy: -326 meV/atom. Its volume is 21.82 A^3/atom. As for the crystal system: tetragonal.

Structure (CIF):
```
data_Tb2MnPd
_chemical_formula_sum 'Tb2 Mn1 Pd1'
_space_group_name_H-M_alt 'P 1'
_space_group_IT_number 1
_cell_length_a 3.5400
_cell_length_b 3.5400
_cell_length_c 6.9637
_cell_angle_alpha 90.00
_cell_angle_beta 90.00
_cell_angle_gamma 90.00
loop_
_space_group_symop_operation_xyz
'x,y,z'
loop_
_atom_site_label
_atom_site_type_symbol
_atom_site_fract_x
_atom_site_fract_y
_atom_site_fract_z
Mn1 Mn 0.5000 0.5000 0.0000
Tb1 Tb 0.0000 0.0000 0.7495
Tb2 Tb 0.0000 0.0000 0.2505
Pd1 Pd 0.5000 0.5000 0.5000
```